1.
Tc2AsRu: relaxed, PBE-GGA.

a b c (Å): 2.9317 2.9317 6.6905
angles (deg): 90.00 90.00 90.00
Closest atoms and distances in Å follow each position.
Space group P4mm (No. 99)
One atom of each set of equivalent atoms:
Tc  0.0000  0.0000  0.0000  8 Tc 2.71-2.93, 4 Ru 2.77
Tc  0.5000  0.5000  0.2608  4 As 2.61, 4 Tc 2.71
As  0.0000  0.0000  0.4975  4 Ru 2.57, 4 Tc 2.61
Ru  0.5000  0.5000  0.7245  4 As 2.57, 4 Tc 2.77

***

2.
Tc2AsRu: relaxed, PBE-GGA.

a b c (Å): 2.9431 2.9431 6.6203
angles (deg): 90.00 90.00 90.00
Closest atoms and distances in Å follow each position.
Space group P4/mmm (No. 123)
One atom of each set of equivalent atoms:
Tc  0.0000  0.0000  0.2330  4 As 2.59, 4 Ru 2.73
As  0.5000  0.5000  0.0000  8 Tc 2.59
Ru  0.5000  0.5000  0.5000  8 Tc 2.73, 4 Ru 2.94

***

3.
Tc2AsRu: relaxed, PBE-GGA.

a b c (Å): 2.8314 4.0054 5.3254
angles (deg): 90.00 105.32 90.00
Closest atoms and distances in Å follow each position.
Space group Pm (No. 6)
One atom of each set of equivalent atoms:
Tc  0.0000  0.0000  0.0000  3 Ru 2.65-2.86, 4 As 2.69-2.70, 6 Tc 2.80-2.83
Tc  0.3693  0.5000  0.7382  1 As 2.46
As  0.6067  0.5000  0.2175  2 Ru 2.43, 5 Tc 2.46-2.70
Ru  0.7420  0.0000  0.4840  2 As 2.43, 1 Tc 2.65

***

4.
Tc3AsRu: relaxed, PBE-GGA.

Calculated values
The calculation puts the energy above the lowest structure with this stoichiometry at 0.0 kJ per mole of atoms.

a b c (Å): 4.4785 4.4785 4.4785
angles (deg): 90.00 90.00 90.00
Closest atoms and distances in Å follow each position.
Space group Pm-3m (No. 221)
One atom of each set of equivalent atoms:
Tc  0.0000  0.0000  0.5000  2 As 2.24
As  0.0000  0.0000  0.0000  6 Tc 2.24
Ru  0.5000  0.5000  0.5000  12 Tc 3.17

***

| no. | DFT formation energy (eV/f.u.) |
| --- | --- |
| 1 | 0.0 |
| 2 | 0.1 |
| 3 | 0.1 |
| 4 | 6.9 |